Material: Li2CeMoO4
Method: DFT, PBE with a Hubbard U
State: relaxed

Properties
**Total DFT energy (no corrections)**: -54.26 eV per cell

Geometry as POSCAR:
```
Li2CeMoO4
1.0
-2.254 2.254 4.694
2.254 -2.254 4.694
2.254 2.254 -4.694
Li Ce Mo O
2 1 1 4
Cartesian
0.000 0.000 0.000
0.000 2.254 2.347
2.254 0.000 2.347
0.000 0.000 4.694
0.000 0.000 2.494
0.000 2.254 0.052
0.000 0.000 6.895
0.000 2.254 4.642
```